{
  "formula": "Be2TlSi",
  "functional": "PBE",
  "state": "relaxed",
  "lattice": [[3.843, 0.000, 0.000], [0.000, 4.463, 0.000], [0.000, 0.000, 3.622]],
  "species": ["Tl", "Be", "Si", "Be"],
  "fractional_positions": [[0.000, 0.500, 0.500], [0.000, 0.000, 0.000], [0.500, 0.000, 0.500], [0.500, 0.500, 0.000]],
  "space_group": "Pmmm, No. 47",
  "e_form_raw_ev_per_atom": 0.8321,
  "relative_energy_ev_per_fu": 2.21,
  "rho_g_cm3": 6.7,
  "dos_at_fermi_per_ev_atom": 0.373
}

---

{
  "formula": "Be2TlSi",
  "functional": "PBE",
  "state": "relaxed",
  "lattice": [[-2.897, -4.377, -0.374], [0.338, -3.071, -4.260], [3.194, 2.359, 3.453]],
  "species": ["Be", "Be", "Tl", "Si"],
  "fractional_positions": [[0.000, 0.000, 0.000], [0.250, 0.750, 0.500], [0.750, 0.250, 0.500], [0.500, 0.500, 0.000]],
  "space_group": "I-4m2, No. 119",
  "e_form_raw_ev_per_atom": 0.8232,
  "relative_energy_ev_per_fu": 2.18,
  "rho_g_cm3": 6.7,
  "dos_at_fermi_per_ev_atom": 0.148
}

---

{
  "formula": "BeTlSi2",
  "functional": "PBE",
  "state": "relaxed",
  "lattice": [[-4.623, 0.707, -0.928], [-1.118, -1.611, 4.346], [-2.375, 6.191, 4.300]],
  "species": ["Si", "Be", "Si", "Be", "Tl", "Si", "Si", "Tl"],
  "fractional_positions": [[0.875, 0.739, 0.750], [0.500, 0.500, 0.000], [0.489, 0.125, 0.250], [0.250, 0.750, 0.500], [0.000, 0.000, 0.000], [0.375, 0.511, 0.750], [0.261, 0.625, 0.250], [0.750, 0.250, 0.500]],
  "space_group": "I-42d, No. 122",
  "e_form_raw_ev_per_atom": 0.4974,
  "relative_energy_ev_per_fu": 0.35,
  "rho_g_cm3": 5.5,
  "dos_at_fermi_per_ev_atom": 0.398
}

---

{
  "formula": "Be2TlSi",
  "functional": "PBE",
  "state": "relaxed",
  "lattice": [[-3.929, 0.931, 2.339], [-2.714, -3.647, -1.052], [4.357, -0.080, 1.668]],
  "species": ["Tl", "Be", "Be", "Si"],
  "fractional_positions": [[0.750, 0.250, 0.500], [0.000, 0.000, 0.000], [0.500, 0.500, 0.000], [0.250, 0.750, 0.500]],
  "space_group": "I4/mmm, No. 139",
  "e_form_raw_ev_per_atom": 0.8327,
  "relative_energy_ev_per_fu": 2.21,
  "rho_g_cm3": 6.7,
  "dos_at_fermi_per_ev_atom": 0.268
}

---

{
  "formula": "BeTlSi2",
  "functional": "PBE",
  "state": "relaxed",
  "lattice": [[5.769, 0.053, -0.071], [3.032, 4.909, 0.071], [-3.709, -3.708, 2.406]],
  "species": ["Tl", "Si", "Si", "Be"],
  "fractional_positions": [[0.750, 0.250, 0.500], [0.047, 0.047, 0.000], [0.453, 0.453, 0.000], [0.250, 0.750, 0.500]],
  "space_group": "Immm, No. 71",
  "e_form_raw_ev_per_atom": 0.6389,
  "relative_energy_ev_per_fu": 0.92,
  "rho_g_cm3": 6.5,
  "dos_at_fermi_per_ev_atom": 0.370
}

---

{
  "formula": "BeTlSi2",
  "functional": "PBE",
  "state": "relaxed",
  "lattice": [[9.423, -0.029, -0.017], [8.951, 2.947, -0.017], [8.951, 1.421, 2.581]],
  "species": ["Si", "Tl", "Si", "Be"],
  "fractional_positions": [[0.022, 0.022, 0.022], [0.250, 0.250, 0.250], [0.478, 0.478, 0.478], [0.750, 0.750, 0.750]],
  "space_group": "R-3m, No. 166",
  "e_form_raw_ev_per_atom": 0.6607,
  "relative_energy_ev_per_fu": 1.01,
  "rho_g_cm3": 6.1,
  "dos_at_fermi_per_ev_atom": 0.636
}

---

{
  "formula": "BeTlSi2",
  "functional": "PBE",
  "state": "relaxed",
  "lattice": [[-3.396, 1.732, 3.733], [3.671, -3.746, 0.978], [1.966, 2.135, 0.798]],
  "species": ["Tl", "Si", "Be", "Si"],
  "fractional_positions": [[0.500, 0.000, 0.500], [0.500, 0.500, 0.000], [0.000, 0.500, 0.500], [0.000, 0.000, 0.000]],
  "space_group": "Cmmm, No. 65",
  "e_form_raw_ev_per_atom": 0.8402,
  "relative_energy_ev_per_fu": 1.73,
  "rho_g_cm3": 6.2,
  "dos_at_fermi_per_ev_atom": 0.274
}

---

{
  "formula": "Be2TlSi",
  "functional": "PBE",
  "state": "relaxed",
  "lattice": [[0.000, 3.156, 3.156], [3.156, 0.000, 3.156], [3.156, 3.156, 0.000]],
  "species": ["Si", "Be", "Be", "Tl"],
  "fractional_positions": [[0.000, 0.000, 0.000], [0.750, 0.750, 0.750], [0.250, 0.250, 0.250], [0.500, 0.500, 0.500]],
  "space_group": "Fm-3m, No. 225",
  "e_form_raw_ev_per_atom": 0.8698,
  "relative_energy_ev_per_fu": 2.36,
  "rho_g_cm3": 6.6,
  "dos_at_fermi_per_ev_atom": 0.761
}